1.
The following is a PBE-GGA calculation of a geometry-optimized ScMnRh2 structure, from Alexandria via LeMat-Bulk.

Geometry as POSCAR:
```
ScMnRh2
1.0
5.292 -0.004 -0.017
2.614 4.601 0.017
-3.595 -2.914 2.567
Mn Rh Sc
1 2 1
Direct
0.241 0.741 0.500
0.004 0.004 0.000
0.751 0.251 0.500
0.505 0.505 0.000
```

DFT formation energy: -0.431 eV/atom
Magnetic moment: 4.439 μB per cell

=====

2.
The following is a PBE-GGA calculation of a geometry-optimized Sc2MnRh structure, from Alexandria via LeMat-Bulk.

Geometry as POSCAR:
```
Sc2MnRh
1.0
9.143 -0.063 -0.037
8.627 3.029 -0.037
8.627 1.440 2.665
Mn Rh Sc
1 1 2
Direct
0.492 0.492 0.492
0.752 0.752 0.752
0.014 0.014 0.014
0.242 0.242 0.242
```

DFT formation energy: -0.015 eV/atom
Magnetic moment: 3.212 μB per cell

=====

3.
The following is a PBE-GGA calculation of a geometry-optimized ScMn2Rh structure, from Alexandria via LeMat-Bulk.

Geometry as POSCAR:
```
ScMn2Rh
1.0
-0.901 -1.654 -2.444
2.923 -0.906 -0.465
1.983 -5.842 3.222
Mn Rh Sc
2 1 1
Direct
0.000 0.965 0.035
0.500 0.265 0.235
0.000 0.518 0.482
0.500 0.752 0.747
```

DFT formation energy: -0.248 eV/atom
Distance to the lowest polymorph of the same formula: 0.0 meV/atom
Magnetic moment: 2.037 μB per cell

=====

4.
The following is a PBE-GGA calculation of a geometry-optimized Sc2MnRh structure, from Alexandria via LeMat-Bulk.

Geometry as POSCAR:
```
Sc2MnRh
1.0
3.041 0.000 0.000
0.000 4.264 0.000
0.000 0.000 5.450
Mn Rh Sc
1 1 2
Direct
0.000 0.000 0.479
0.500 0.500 0.775
0.000 0.000 0.955
0.500 0.500 0.291
```

DFT formation energy: -0.215 eV/atom
Magnetic moment: 2.560 μB per cell

=====

5.
The following is a PBE-GGA calculation of a geometry-optimized Sc2MnRh structure, from Alexandria via LeMat-Bulk.

Geometry as POSCAR:
```
Sc2MnRh
1.0
-2.501 -3.393 -3.697
0.659 -3.856 -4.017
-0.477 -4.264 1.464
Mn Rh Sc
1 1 2
Direct
0.473 0.473 0.526
0.758 0.758 0.743
0.025 0.025 0.974
0.244 0.244 0.257
```

DFT formation energy: -0.378 eV/atom
Magnetic moment: 2.657 μB per cell

=====

6.
The following is a PBE-GGA calculation of a geometry-optimized ScMn2Rh structure, from Alexandria via LeMat-Bulk.

Geometry as POSCAR:
```
ScMn2Rh
1.0
0.000 3.138 3.138
3.138 0.000 3.138
3.138 3.138 0.000
Sc Mn Rh
1 2 1
Direct
0.000 0.000 0.000
0.250 0.250 0.250
0.750 0.750 0.750
0.500 0.500 0.500
```

DFT formation energy: -0.074 eV/atom
Distance to the lowest polymorph of the same formula: 174.3 meV/atom
Magnetic moment: 7.184 μB per cell

=====

7.
The following is a PBE-GGA calculation of a geometry-optimized ScMn2Rh structure, from Alexandria via LeMat-Bulk.

Geometry as POSCAR:
```
ScMn2Rh
1.0
4.333 0.000 0.000
0.000 2.887 0.071
0.000 1.208 5.094
Mn Rh Sc
2 1 1
Direct
0.000 0.071 0.020
0.000 0.429 0.480
0.500 0.250 0.250
0.500 0.750 0.750
```

DFT formation energy: -0.060 eV/atom
Distance to the lowest polymorph of the same formula: 188.4 meV/atom
Magnetic moment: 6.831 μB per cell

=====

8.
The following is a PBE-GGA calculation of a geometry-optimized Sc4MnRh5 structure, from Alexandria via LeMat-Bulk.

Geometry as POSCAR:
```
Sc4MnRh5
1.0
3.203 0.000 0.000
0.000 3.203 0.000
0.000 0.000 15.875
Sc Mn Rh
4 1 5
Direct
0.000 0.000 0.191
0.000 0.000 0.397
0.000 0.000 0.603
0.000 0.000 0.809
0.000 0.000 0.000
0.500 0.500 0.094
0.500 0.500 0.296
0.500 0.500 0.500
0.500 0.500 0.704
0.500 0.500 0.906
```

DFT formation energy: -0.854 eV/atom
Magnetic moment: 4.607 μB per cell

=====

9.
The following is a PBE-GGA calculation of a geometry-optimized Sc2MnRh structure, from Alexandria via LeMat-Bulk.

Geometry as POSCAR:
```
Sc2MnRh
1.0
3.183 0.000 0.000
0.000 3.183 0.000
0.000 0.000 7.404
Mn Rh Sc
1 1 2
Direct
0.000 0.000 0.530
0.500 0.500 0.736
0.000 0.000 0.939
0.500 0.500 0.295
```

DFT formation energy: -0.239 eV/atom
Magnetic moment: 3.373 μB per cell

=====

10.
The following is a PBE-GGA calculation of a geometry-optimized ScMn2Rh structure, from Alexandria via LeMat-Bulk.

Geometry as POSCAR:
```
ScMn2Rh
1.0
-0.466 0.824 3.611
-0.393 -3.862 0.831
4.210 -0.297 0.611
Mn Rh Sc
2 1 1
Direct
0.000 0.000 0.000
0.500 0.500 0.000
0.500 0.000 0.500
0.000 0.500 0.500
```

DFT formation energy: -0.176 eV/atom
Distance to the lowest polymorph of the same formula: 72.4 meV/atom
Magnetic moment: 7.575 μB per cell

=====

11.
The following is a PBE-GGA calculation of a geometry-optimized Sc3MnRh structure, from Alexandria via LeMat-Bulk.

Geometry as POSCAR:
```
Sc3MnRh
1.0
-1.519 -1.823 3.997
-3.680 -1.782 -2.212
2.400 -3.887 -0.861
Sc Mn Rh
3 1 1
Direct
0.000 0.500 0.000
0.000 0.000 0.500
0.500 0.000 0.000
0.000 0.000 0.000
0.500 0.500 0.500
```

DFT formation energy: 0.228 eV/atom
Distance to the lowest polymorph of the same formula: 144.0 meV/atom
Magnetic moment: 0.005 μB per cell

=====

12.
The following is a PBE-GGA calculation of a geometry-optimized Sc2MnRh structure, from Alexandria via LeMat-Bulk.

Geometry as POSCAR:
```
Sc2MnRh
1.0
3.191 0.000 0.000
0.000 3.227 0.011
0.000 3.209 6.588
Mn Rh Sc
1 1 2
Direct
0.500 0.250 0.250
0.500 0.750 0.750
0.000 0.003 0.997
0.000 0.497 0.503
```

DFT formation energy: -0.460 eV/atom
Magnetic moment: 1.980 μB per cell

=====

13.
The following is a PBE-GGA calculation of a geometry-optimized Sc2MnRh structure, from Alexandria via LeMat-Bulk.

Geometry as POSCAR:
```
Sc2MnRh
1.0
-0.389 -4.548 -0.636
2.001 -1.997 -3.639
3.663 -2.732 0.596
Mn Rh Sc
1 1 2
Direct
0.500 0.500 0.500
0.250 0.250 0.250
0.000 0.000 0.000
0.750 0.750 0.750
```

DFT formation energy: -0.212 eV/atom
Magnetic moment: 4.143 μB per cell

=====

14.
The following is a PBE-GGA calculation of a geometry-optimized Sc2MnRh structure, from Alexandria via LeMat-Bulk.

Geometry as POSCAR:
```
Sc2MnRh
1.0
-1.447 -3.605 2.509
1.295 -4.238 1.319
2.343 1.249 4.737
Mn Rh Sc
1 1 2
Direct
0.250 0.250 0.250
0.750 0.750 0.750
0.005 0.005 0.997
0.495 0.495 0.503
```

DFT formation energy: -0.130 eV/atom
Magnetic moment: 2.759 μB per cell

=====

15.
The following is a PBE-GGA calculation of a geometry-optimized ScMn2Rh structure, from Alexandria via LeMat-Bulk.

Geometry as POSCAR:
```
ScMn2Rh
1.0
4.893 -0.027 -0.085
-2.205 4.710 0.025
0.482 0.847 2.672
Mn Rh Sc
2 1 1
Direct
0.000 0.000 0.000
0.500 0.000 0.500
0.000 0.500 0.500
0.500 0.500 0.000
```

DFT formation energy: -0.003 eV/atom
Distance to the lowest polymorph of the same formula: 244.8 meV/atom
Magnetic moment: 6.436 μB per cell

=====

16.
The following is a PBE-GGA calculation of a geometry-optimized ScMn2Rh structure, from Alexandria via LeMat-Bulk.

Geometry as POSCAR:
```
ScMn2Rh
1.0
5.227 0.064 -0.022
4.187 3.129 -0.022
1.860 0.631 3.942
Mn Rh Sc
2 1 1
Direct
0.004 0.004 0.996
0.770 0.770 0.730
0.495 0.495 0.506
0.231 0.231 0.269
```

DFT formation energy: -0.109 eV/atom
Distance to the lowest polymorph of the same formula: 139.3 meV/atom
Magnetic moment: 7.102 μB per cell

=====

17.
The following is a PBE-GGA calculation of a geometry-optimized Sc2MnRh structure, from Alexandria via LeMat-Bulk.

Geometry as POSCAR:
```
Sc2MnRh
1.0
-1.303 -2.941 -2.974
2.261 -2.004 0.991
-2.132 -3.020 3.920
Mn Rh Sc
1 1 2
Direct
0.000 0.700 0.478
0.500 0.549 0.773
0.000 0.970 0.932
0.500 0.280 0.318
```

DFT formation energy: -0.345 eV/atom
Magnetic moment: 2.633 μB per cell

=====

18.
The following is a PBE-GGA calculation of a geometry-optimized Sc2MnRh structure, from Alexandria via LeMat-Bulk.

Geometry as POSCAR:
```
Sc2MnRh
1.0
7.227 0.000 0.000
0.000 7.227 0.000
3.613 3.613 2.905
Sc Mn Rh
4 2 2
Direct
0.653 0.125 0.250
0.097 0.625 0.250
0.375 0.347 0.750
0.875 0.903 0.750
0.500 0.500 0.000
0.250 0.750 0.500
0.000 0.000 0.000
0.750 0.250 0.500
```

DFT formation energy: -0.060 eV/atom
Magnetic moment: 5.770 μB per cell

=====

19.
The following is a PBE-GGA calculation of a geometry-optimized Sc5MnRh6 structure, from Alexandria via LeMat-Bulk.

Geometry as POSCAR:
```
Sc5MnRh6
1.0
4.348 -0.004 -1.219
-3.252 6.327 -3.253
-0.168 -0.893 7.769
Sc Mn Rh
5 1 6
Direct
0.500 0.160 0.840
0.000 0.331 0.669
0.500 0.500 0.500
0.000 0.669 0.331
0.500 0.840 0.160
0.000 0.000 0.000
0.250 0.084 0.415
0.750 0.585 0.916
0.752 0.252 0.252
0.248 0.748 0.748
0.250 0.415 0.084
0.750 0.916 0.585
```

DFT formation energy: -0.900 eV/atom
Magnetic moment: 4.563 μB per cell

=====

20.
The following is a PBE-GGA calculation of a geometry-optimized ScMnSnRh structure, from Alexandria via LeMat-Bulk.

Geometry as POSCAR:
```
ScMnSnRh
1.0
4.505 0.000 0.000
2.253 3.901 0.000
2.253 1.300 3.678
Sc Mn Rh Sn
1 1 1 1
Direct
0.750 0.750 0.750
0.500 0.500 0.500
0.000 0.000 0.000
0.250 0.250 0.250
```

DFT formation energy: -0.405 eV/atom
Magnetic moment: 1.051 μB per cell

=====

21.
The following is a PBE-GGA calculation of a geometry-optimized ScTaMnRh2 structure, from Alexandria via LeMat-Bulk.

Geometry as POSCAR:
```
ScTaMnRh2
1.0
4.469 0.000 0.000
0.000 4.809 0.000
0.000 0.000 4.469
Sc Mn Rh Ta
1 1 2 1
Direct
0.000 0.000 0.000
0.500 0.500 0.500
0.000 0.000 0.500
0.500 0.000 0.000
0.000 0.500 0.000
```

DFT formation energy: 1.596 eV/atom
Magnetic moment: 0.139 μB per cell

=====

22.
The following is a PBE-GGA calculation of a geometry-optimized MnRhSe4 structure, from Alexandria via LeMat-Bulk.

Geometry as POSCAR:
```
MnRhSe4
1.0
0.000 3.936 3.936
3.936 0.000 3.936
3.936 3.936 0.000
Mn Rh Se
1 1 4
Direct
0.750 0.750 0.750
0.000 0.000 0.000
0.877 0.374 0.374
0.374 0.374 0.877
0.374 0.877 0.374
0.374 0.374 0.374
```

Magnetic moment: 5.120 μB per cell
ΔE_f (raw): 874 meV/atom

=====

23.
The following is a PBE-GGA calculation of a geometry-optimized MnRhSe3 structure, from Alexandria via LeMat-Bulk.

Geometry as POSCAR:
```
MnRhSe3
1.0
-0.546 6.204 2.613
-3.787 2.962 -6.450
-7.080 -1.520 3.504
Mn Rh Se
4 4 12
Direct
0.250 0.237 0.763
0.750 0.763 0.237
0.250 0.926 0.074
0.750 0.074 0.926
0.455 0.816 0.652
0.045 0.348 0.184
0.545 0.184 0.348
0.955 0.652 0.816
0.086 0.647 0.106
0.414 0.894 0.353
0.914 0.353 0.894
0.586 0.106 0.647
0.721 0.447 0.321
0.779 0.679 0.553
0.279 0.553 0.679
0.221 0.321 0.447
0.613 0.784 0.936
0.887 0.064 0.216
0.387 0.216 0.064
0.113 0.936 0.784
```

Distance to the lowest polymorph of the same formula: 0.0 meV/atom
Magnetic moment: 18.300 μB per cell
ΔE_f (raw): -294 meV/atom

=====

24.
The following is a PBE-GGA calculation of a geometry-optimized MnRh2Se structure, from Alexandria via LeMat-Bulk.

Geometry as POSCAR:
```
MnRh2Se
1.0
2.907 0.729 0.000
-0.729 2.907 0.000
0.000 0.000 6.616
Mn Rh Se
1 2 1
Direct
0.500 0.500 0.751
0.000 0.000 0.986
0.500 0.500 0.264
0.000 0.000 0.499
```

Magnetic moment: 3.734 μB per cell
ΔE_f (raw): 64 meV/atom

=====

25.
The following is a PBE-GGA calculation of a geometry-optimized MnRh2Se structure, from Alexandria via LeMat-Bulk.

Geometry as POSCAR:
```
MnRh2Se
1.0
2.967 0.000 0.000
0.000 4.628 0.000
0.000 0.000 4.359
Mn Rh Se
1 2 1
Direct
0.000 0.500 0.500
0.000 0.000 0.000
0.500 0.500 0.000
0.500 0.000 0.500
```

Magnetic moment: 3.824 μB per cell
ΔE_f (raw): 73 meV/atom

=====

26.
The following is a PBE-GGA calculation of a geometry-optimized MnRh2Se structure, from Alexandria via LeMat-Bulk.

Geometry as POSCAR:
```
MnRh2Se
1.0
5.471 0.000 0.000
0.000 5.471 0.000
2.735 2.735 5.263
Mn Rh Se
2 4 2
Direct
0.500 0.500 0.000
0.250 0.750 0.500
0.600 0.125 0.250
0.150 0.625 0.250
0.375 0.400 0.750
0.875 0.850 0.750
0.000 0.000 0.000
0.750 0.250 0.500
```

Magnetic moment: 0.000 μB per cell
ΔE_f (raw): 490 meV/atom

=====

27.
The following is a PBE-GGA calculation of a geometry-optimized MnRh2Se structure, from Alexandria via LeMat-Bulk.

Geometry as POSCAR:
```
MnRh2Se
1.0
-2.719 1.477 -3.156
-2.538 -1.727 -3.179
-4.173 -0.251 2.084
Mn Rh Se
1 2 1
Direct
0.250 0.250 0.250
0.997 0.997 0.007
0.503 0.503 0.493
0.750 0.750 0.750
```

Magnetic moment: 3.572 μB per cell
ΔE_f (raw): -42 meV/atom

=====

28.
The following is a PBE-GGA calculation of a geometry-optimized MnRh2Se structure, from Alexandria via LeMat-Bulk.

Geometry as POSCAR:
```
MnRh2Se
1.0
3.168 0.000 0.000
0.000 3.168 0.000
0.000 0.000 5.979
Mn Rh Se
1 2 1
Direct
0.500 0.500 0.750
0.000 0.000 0.999
0.000 0.000 0.501
0.500 0.500 0.250
```

Magnetic moment: 4.798 μB per cell
ΔE_f (raw): -74 meV/atom